Here is a relaxed structure of RbZrTc from Alexandria via LeMat-Bulk. Energies are from PBE-GGA.

POSCAR file:
```
RbZrTc
1.0
-1.7879 -0.3528 2.8121
2.6513 -3.2480 1.2781
8.3723 8.9869 5.3342
Rb Zr Tc
2 2 2
Direct
0.2329 0.1579 0.3280 Rb
0.6341 0.6650 0.9987 Rb
0.5609 0.1623 0.7542 Zr
0.5136 0.6606 0.5734 Zr
0.0583 0.6622 0.7456 Tc
0.0127 0.1607 0.5818 Tc
```

Summary:
Its polymorph energy (0 for the lowest one) is 0.0267 eV per atom. As for the crystal system: triclinic. The calculation puts the formation energy at 290 meV/atom. For the calculated density, the calculation gives 4.6 g cm⁻³. As for the symmetry: P1.